Entry A
A relaxed structure of Zr2TlCl, computed with PBE.

The structure in POSCAR format:
```
Zr2TlCl
1.0
-1.3267 -4.2303 4.5302
4.3622 -2.6046 3.7902
-3.0264 5.1071 -2.2218
Tl Zr Cl
1 2 1
direct
0.2704 0.7704 0.5000
0.9642 0.9642 0.0000
0.7277 0.2277 0.5000
0.5377 0.5377 0.0000
```

***

Entry B
A relaxed structure of Zr2TlCl, computed with PBE.

The structure in POSCAR format:
```
Zr2TlCl
1.0
-2.3645 -0.1308 2.4057
-0.6189 -3.7009 -0.8096
4.9681 -1.8767 4.7809
Zr Cl Tl
2 1 1
direct
0.0000 0.0000 0.0234
0.5000 0.5000 0.2851
0.0000 0.0000 0.4112
0.5000 0.5000 0.7803
```

***

Entry C
A relaxed structure of Zr2TlCl, computed with PBE.

The structure in POSCAR format:
```
Zr2TlCl
1.0
6.0997 -0.0075 -0.4446
5.2580 3.0919 -0.4446
1.7180 0.4665 4.9558
Zr Cl Tl
2 1 1
direct
0.9528 0.9528 0.1209
0.2294 0.2294 0.2229
0.5430 0.5430 0.4414
0.7748 0.7748 0.7147
```

***

Most stable of them? entry B.

***

Entry A
A relaxed structure of Zr2TlCl, computed with PBE.

The structure in POSCAR format:
```
Zr2TlCl
1.0
5.1235 0.0000 0.0000
2.5617 4.4371 0.0000
2.5617 1.4790 4.1833
Cl Tl Zr
1 1 2
direct
0.5000 0.5000 0.5000
0.7500 0.7500 0.7500
0.2500 0.2500 0.2500
0.0000 0.0000 0.0000
```

***

Entry B
A relaxed structure of Zr2TlCl, computed with PBE.

The structure in POSCAR format:
```
Zr2TlCl
1.0
3.2873 0.0019 0.0000
-1.7238 2.7990 0.0000
0.0000 0.0000 9.7342
Cl Zr Tl
1 2 1
direct
0.5000 0.5000 0.2500
0.0000 0.0000 0.4807
0.0000 0.0000 0.0193
0.5000 0.5000 0.7500
```

***

Most stable of them? entry B.

***

Entry A
A relaxed structure of Zr2TlCl, computed with PBE.

The structure in POSCAR format:
```
Zr2TlCl
1.0
3.2509 0.0000 0.0000
0.0000 3.2509 0.0000
0.0000 0.0000 7.7179
Tl Cl Zr
1 1 2
direct
0.5000 0.5000 0.7500
0.5000 0.5000 0.2500
0.0000 0.0000 0.4767
0.0000 0.0000 0.0233
```

***

Entry B
A relaxed structure of Zr2TlCl, computed with PBE.

The structure in POSCAR format:
```
Zr2TlCl
1.0
-2.3868 -3.0695 0.4705
1.4328 -1.5008 -2.5232
4.6868 -3.0236 4.0501
Tl Zr Cl
1 2 1
direct
0.5000 0.7500 0.7500
0.0000 0.2764 0.4920
0.0000 0.2236 0.0080
0.5000 0.2500 0.2500
```

***

Entry C
A relaxed structure of Zr2TlCl, computed with PBE.

The structure in POSCAR format:
```
Zr2TlCl
1.0
11.0243 0.0286 0.0168
10.4979 3.3658 0.0168
10.4979 1.6557 2.9305
Zr Tl Cl
2 1 1
direct
0.9886 0.9886 0.9886
0.2486 0.2486 0.2486
0.7358 0.7358 0.7358
0.5270 0.5270 0.5270
```

***

Entry D
A relaxed structure of Zr2TlCl, computed with PBE.

The structure in POSCAR format:
```
Zr2TlCl
1.0
3.1256 0.3599 0.0000
-0.3668 3.1248 0.0000
0.0000 0.0000 10.6885
Zr Cl Tl
2 1 1
direct
0.0000 0.0000 0.0397
0.5000 0.5000 0.2559
0.0000 0.0000 0.4114
0.5000 0.5000 0.7930
```

***

Most stable of them? entry C.

***

Entry A
A relaxed structure of Zr2TlCl, computed with PBE.

The structure in POSCAR format:
```
Zr2TlCl
1.0
5.9404 -0.0038 0.0000
2.9902 5.1329 0.0000
-4.4653 -2.5645 2.9618
Zr Tl Cl
2 1 1
direct
0.2500 0.7500 0.5000
0.0000 0.0000 0.0000
0.7500 0.2500 0.5000
0.5000 0.5000 0.0000
```

***

Entry B
A relaxed structure of Zr2TlCl, computed with PBE.

The structure in POSCAR format:
```
Zr2TlCl
1.0
-6.9618 -3.8037 5.3363
-4.6512 -6.0316 5.7790
-4.7016 -3.3628 7.6156
Zr Tl Cl
2 1 1
direct
0.9928 0.9928 0.9928
0.5072 0.5072 0.5072
0.7500 0.7500 0.7500
0.2500 0.2500 0.2500
```

***

Entry C
A relaxed structure of Zr2TlCl, computed with PBE.

The structure in POSCAR format:
```
Zr2TlCl
1.0
0.0000 3.5036 3.5036
3.5036 0.0000 3.5036
3.5036 3.5036 0.0000
Cl Zr Tl
1 2 1
direct
0.0000 0.0000 0.0000
0.7500 0.7500 0.7500
0.2500 0.2500 0.2500
0.5000 0.5000 0.5000
```

***

Entry D
A relaxed structure of Zr2TlCl, computed with PBE.

The structure in POSCAR format:
```
Zr2TlCl
1.0
-2.8389 2.8034 -4.3280
-0.5312 -3.4006 -4.7753
-1.3662 1.0213 5.6339
Zr Tl Cl
2 1 1
direct
0.9728 0.9728 0.0000
0.5272 0.5272 0.0000
0.2500 0.7500 0.5000
0.7500 0.2500 0.5000
```

***

Most stable of them? entry B.